La3TlRu | PBE | optimized geometry

The structure in CIF format:
```
data_La3TlRu
_chemical_formula_sum 'La6 Tl2 Ru2'
_symmetry_space_group_name_H-M 'P 63/m'
_symmetry_Int_Tables_number 176
_symmetry_space_group_name_Hall '-P 6c'
_cell_length_a 7.7029
_cell_length_b 7.7029
_cell_length_c 5.9634
_cell_angle_alpha 90.00
_cell_angle_beta 90.00
_cell_angle_gamma 120.00
loop_
_atom_site_label
_atom_site_fract_x
_atom_site_fract_y
_atom_site_fract_z
La1 0.1368 0.7810 0.2500
Tl1 0.3333 0.6667 0.7500
Ru1 0.0000 0.0000 0.0000
```

## Properties
Crystal system   hexagonal
N(E_F)   0.283 states/eV per atom
Excess energy over the best structure of this formula in the dataset   0 meV per atom